1.
A relaxed structure of Cr2ReMo. Source: Alexandria via LeMat-Bulk, functional PBE-GGA.

DFT formation energy   314 meV per atom
Volume   13.9 Å³/atom
Magnetic moment   0.00 μB per formula unit

Unit cell a=2.716 b=4.095 c=5.007 alpha=90.00 beta=90.00 gamma=90.00
Atoms (fractional coordinates):
Cr 0.000 0.000 0.000
Cr 0.500 0.500 0.252
Re 0.500 0.500 0.775
Mo 0.000 0.000 0.486



2.
A relaxed structure of Cr2ReMo. Source: Alexandria via LeMat-Bulk, functional PBE-GGA.

DFT formation energy   85 meV per atom
Volume   13.7 Å³/atom
Magnetic moment   0.01 μB per formula unit

Unit cell a=4.959 b=4.959 c=4.959 alpha=144.41 beta=128.44 gamma=64.22
Atoms (fractional coordinates):
Cr 0.249 0.249 0.000
Cr 0.751 0.751 0.000
Re 0.500 0.000 0.500
Mo 0.000 0.500 0.500



3.
A relaxed structure of CrReMo2. Source: Alexandria via LeMat-Bulk, functional PBE-GGA.

Relative energy among the computed polymorphs   5 meV per atom
DFT formation energy   50 meV per atom
Volume   14.7 Å³/atom
Magnetic moment   0.00 μB per formula unit

Unit cell a=4.367 b=4.367 c=4.367 alpha=60.00 beta=60.00 gamma=60.00
Atoms (fractional coordinates):
Cr 0.000 0.000 0.000
Re 0.500 0.500 0.500
Mo 0.250 0.250 0.250
Mo 0.750 0.750 0.750